[1]
A relaxed structure of K2Sn4BiAu3, computed with PBE.

Computed properties:
electronic total energy = -3.444 eV/atom
formation enthalpy at 0 K = -252 meV per atom

Lattice parameters (Å, degrees): 4.9226 4.9226 11.8086 90.00 90.00 90.00
Last column: nearest neighbours and their distance in Å.
Space group P-4m2 (No. 115)
Inequivalent atoms, fractional coordinates:
K 0.0000 0.5000 0.2447 [2 per cell]  8 Sn 3.71-3.80, 6 Au 3.77-3.89, 2 Bi 3.89
Sn 0.0000 0.0000 0.0000 [1 per cell]  4 Au 2.85
Sn 0.0000 0.5000 0.6462 [2 per cell]  3 Au 2.74-3.01, 2 Bi 3.01
Sn 0.5000 0.5000 0.0000 [1 per cell]  4 Au 2.85
Bi 0.0000 0.0000 0.5000 [1 per cell]  4 Sn 3.01
Au 0.0000 0.5000 0.8786 [2 per cell]  5 Sn 2.74-2.85
Au 0.5000 0.5000 0.5000 [1 per cell]  4 Sn 3.01

***

[2]
A relaxed structure of KSn2BiAu, computed with PBE.

Computed properties:
electronic total energy = -3.387 eV/atom
formation enthalpy at 0 K = -135 meV per atom

Lattice parameters (Å, degrees): 5.2985 5.2985 6.8079 90.00 90.00 90.00
Last column: nearest neighbours and their distance in Å.
Space group P4mm (No. 99)
Inequivalent atoms, fractional coordinates:
K 0.0000 0.0000 0.0000 [1 per cell]  2 Au 3.23-3.58
Sn 0.0000 0.5000 0.4384 [2 per cell]  2 Au 2.72
Bi 0.5000 0.5000 0.1758 [1 per cell]  4 Sn 3.20
Au 0.0000 0.0000 0.5259 [1 per cell]  4 Sn 2.72

***

[3]
A relaxed structure of KBiTe2Au, computed with PBE.

Computed properties:
electronic total energy = -3.233 eV/atom
ΔE_f (raw) = -0.325 eV per atom

Lattice parameters (Å, degrees): 6.6774 16.1663 6.2340 90.00 90.00 90.00
Last column: nearest neighbours and their distance in Å.
Space group Cmme (No. 67)
Inequivalent atoms, fractional coordinates:
K 0.0000 0.2500 0.2372 [4 per cell]  8 Te 3.56-3.80
Bi 0.2500 0.0000 0.0000 [4 per cell]  4 Te 3.27, 2 Bi 3.34, 4 Au 3.54
Te 0.0000 0.1390 0.7302 [8 per cell]  1 Au 2.67
Au 0.0000 0.0000 0.5000 [4 per cell]  2 Te 2.67

***

[4]
A relaxed structure of KBiTe3Au, computed with PBE.

Computed properties:
electronic total energy = -3.315 eV/atom
ΔE_f (raw) = -0.368 eV per atom

Lattice parameters (Å, degrees): 9.7584 4.4760 10.1037 90.00 103.74 90.00
Last column: nearest neighbours and their distance in Å.
Space group P2_1/m (No. 11)
Inequivalent atoms, fractional coordinates:
K 0.1882 0.2500 0.2383 [2 per cell]  7 Te 3.58-3.74, 1 Au 3.69
Bi 0.3325 0.7500 0.8718 [2 per cell]  6 Te 3.06-3.24
Te 0.1039 0.2500 0.8634 [2 per cell]  1 Au 2.98, 2 Bi 3.15
Te 0.2336 0.7500 0.5418 [2 per cell]  3 Au 2.74-2.99
Te 0.4554 0.7500 0.1800 [2 per cell]  3 Bi 3.06-3.18
Au 0.0794 0.2500 0.5641 [2 per cell]  4 Te 2.74-2.99, 2 Au 2.85

***

[5]
A relaxed structure of K2Tl6BiAu, computed with PBE.

Computed properties:
electronic total energy = -2.384 eV/atom
formation enthalpy at 0 K = -29 meV per atom

Lattice parameters (Å, degrees): 8.7536 8.7536 35.4079 90.00 90.00 120.00
Last column: nearest neighbours and their distance in Å.
Space group R-3m (No. 166, hexagonal axes)
Inequivalent atoms, fractional coordinates:
K 0.0000 0.0000 0.1514 [6 per cell]  6 Tl 3.59-3.66
K 0.0000 0.0000 0.2862 [6 per cell]  1 Bi 3.48, 3 Tl 3.69
Tl 0.0290 0.5145 0.1166 [18 per cell]  1 Au 2.91
Tl 0.0790 0.5395 0.7300 [18 per cell]  1 Au 2.96, 1 Bi 3.16
Bi 0.0000 0.0000 0.3846 [6 per cell]  6 Tl 3.16-3.27, 1 K 3.48
Au 0.0000 0.0000 0.0000 [3 per cell]  6 Tl 2.96
Au 0.0000 0.0000 0.5000 [3 per cell]  6 Tl 2.91

***

[6]
A relaxed structure of LaBi2Au, computed with PBE.

Computed properties:
electronic total energy = -4.283 eV/atom
formation enthalpy at 0 K = -291 meV per atom

Lattice parameters (Å, degrees): 7.6948 7.6948 7.6948 90.00 90.00 90.00
Last column: nearest neighbours and their distance in Å.
Space group Fm-3m (No. 225)
Inequivalent atoms, fractional coordinates:
La 0.0000 0.0000 0.0000 [4 per cell]  8 Bi 3.33
Bi 0.2500 0.2500 0.2500 [8 per cell]  4 Au 3.33, 4 La 3.33
Au 0.0000 0.0000 0.5000 [4 per cell]  8 Bi 3.33

***

[7]
A relaxed structure of LaBiAu, computed with PBE.

Computed properties:
electronic total energy = -4.802 eV/atom
formation enthalpy at 0 K = -774 meV per atom

Lattice parameters (Å, degrees): 12.1659 4.6084 7.6949 90.00 127.84 90.00
Last column: nearest neighbours and their distance in Å.
Space group C2/m (No. 12)
Inequivalent atoms, fractional coordinates:
La 0.0459 0.0000 0.2867 [4 per cell]  4 Au 3.27-3.33, 5 Bi 3.38-3.55
Bi 0.1768 0.5000 0.7138 [4 per cell]  3 Au 2.91-3.18
Au 0.1393 0.5000 0.0876 [4 per cell]  1 Au 2.77, 2 Bi 2.91

***

[8]
A relaxed structure of LaBiAu10, computed with PBE.

Computed properties:
electronic total energy = -3.685 eV/atom
formation enthalpy at 0 K = -220 meV per atom

Lattice parameters (Å, degrees): 4.6991 5.6426 9.7469 90.00 90.00 90.00
Last column: nearest neighbours and their distance in Å.
Space group Pmmm (No. 47)
Inequivalent atoms, fractional coordinates:
La 0.0000 0.0000 0.0000 [1 per cell]  14 Au 3.28-3.62
Bi 0.0000 0.5000 0.5000 [1 per cell]  6 Au 3.21-3.24
Au 0.0000 0.0000 0.3370 [2 per cell]  6 Au 2.84-2.87
Au 0.0000 0.5000 0.1710 [2 per cell]  6 Au 2.85-2.88
Au 0.5000 0.0000 0.5000 [1 per cell]  8 Au 2.84-2.85
Au 0.5000 0.2453 0.2442 [4 per cell]  8 Au 2.77-2.87
Au 0.5000 0.5000 0.0000 [1 per cell]  8 Au 2.78-2.88

***

[9]
A relaxed structure of LaBi2Au, computed with PBE.

Computed properties:
electronic total energy = -4.464 eV/atom
formation enthalpy at 0 K = -473 meV per atom

Lattice parameters (Å, degrees): 8.5131 8.5131 6.6633 90.00 90.00 90.00
Last column: nearest neighbours and their distance in Å.
Space group I-42d (No. 122)
Inequivalent atoms, fractional coordinates:
La 0.0000 0.0000 0.0000 [4 per cell]  2 Au 3.33, 8 Bi 3.41-3.71
Bi 0.2032 0.2500 0.6250 [8 per cell]  2 Au 2.87
Au 0.0000 0.0000 0.5000 [4 per cell]  4 Bi 2.87

***

[10]
A relaxed structure of LaBi2Au, computed with PBE.

Computed properties:
electronic total energy = -4.637 eV/atom
formation enthalpy at 0 K = -646 meV per atom

Lattice parameters (Å, degrees): 4.8298 4.8298 19.4013 90.00 90.00 90.00
Last column: nearest neighbours and their distance in Å.
Space group I4/mmm (No. 139)
Inequivalent atoms, fractional coordinates:
La 0.0000 0.0000 0.1320 [4 per cell]  4 Au 3.33, 8 Bi 3.44-3.52
Bi 0.0000 0.0000 0.3463 [4 per cell]  4 Au 3.05
Bi 0.0000 0.5000 0.0000 [4 per cell]  4 Bi 3.42, 4 La 3.52
Au 0.0000 0.5000 0.2500 [4 per cell]  4 Bi 3.05, 4 La 3.33, 4 Au 3.42

***

[11]
A relaxed structure of LaBi2Au, computed with PBE.

Computed properties:
electronic total energy = -3.948 eV/atom
formation enthalpy at 0 K = 43 meV per atom

Lattice parameters (Å, degrees): 3.6962 3.6962 32.0556 90.00 90.00 120.00
Last column: nearest neighbours and their distance in Å.
Space group R-3m (No. 166, hexagonal axes)
Inequivalent atoms, fractional coordinates:
La 0.0000 0.0000 0.0000 [3 per cell]  2 Bi 3.30, 6 La 3.70
Bi 0.0000 0.0000 0.1031 [6 per cell]  3 Au 2.95, 1 La 3.30
Au 0.0000 0.0000 0.5000 [3 per cell]  6 Bi 2.95

***

[12]
A relaxed structure of LaBiAu, computed with PBE.

Computed properties:
electronic total energy = -4.849 eV/atom
formation enthalpy at 0 K = -821 meV per atom

Lattice parameters (Å, degrees): 8.6218 4.9721 8.8327 90.00 109.06 90.00
Last column: nearest neighbours and their distance in Å.
Space group C2/m (No. 12)
Inequivalent atoms, fractional coordinates:
La 0.2420 0.0000 0.2250 [4 per cell]  4 Au 3.12-3.37, 3 Bi 3.43
Bi 0.0000 0.0000 0.5000 [2 per cell]  6 Au 3.06-3.07
Bi 0.0000 0.5000 0.0000 [2 per cell]  2 Au 3.10, 6 La 3.43
Au 0.1244 0.5000 0.3717 [4 per cell]  4 Bi 3.06-3.10, 4 La 3.12-3.37